No. 1
The following is a PBE calculation of a relaxed Sc3TePt crystal, from Alexandria.

Lattice parameters (Å, degrees): 5.105 5.105 5.105 90.00 90.00 90.00
Space group Pm-3m (No. 221)
Inequivalent atoms, fractional coordinates:
Sc  0.000  0.000  0.500
Te  0.500  0.500  0.500
Pt  0.000  0.000  0.000

Output
Distance to the lowest polymorph of the same formula, kcal/mol of atoms: 0.00

---

No. 2
The following is a PBE calculation of a relaxed Sc2TePt crystal, from Alexandria.

Lattice parameters (Å, degrees): 6.925 6.925 6.925 90.00 90.00 90.00
Space group F-43m (No. 216)
Inequivalent atoms, fractional coordinates:
Sc  0.000  0.000  0.000
Sc  0.250  0.250  0.250
Te  0.250  0.250  0.750
Pt  0.000  0.000  0.500

---

No. 3
The following is a PBE calculation of a relaxed Sc2TePt crystal, from Alexandria.

Lattice parameters (Å, degrees): 4.0208 4.0208 24.5529 90.00 90.00 120.00
Space group R-3m (No. 166, hexagonal axes)
Inequivalent atoms, fractional coordinates:
Sc  0.0000  0.0000  0.1123
Te  0.0000  0.0000  0.0000
Pt  0.0000  0.0000  0.5000

---

No. 4
The following is a PBE calculation of a relaxed Sc2TePt crystal, from Alexandria.

Lattice parameters (Å, degrees): 6.863 3.968 7.190 90.00 108.69 90.00
Space group C2/m (No. 12)
Inequivalent atoms, fractional coordinates:
Sc  0.237  0.000  0.212
Te  0.000  0.000  0.500
Pt  0.000  0.500  0.000

---

No. 5
The following is a PBE calculation of a relaxed ScTePt3 crystal, from Alexandria.

Lattice parameters (Å, degrees): 4.849 4.849 4.849 90.00 90.00 90.00
Space group Pm-3m (No. 221)
Inequivalent atoms, fractional coordinates:
Sc  0.000  0.000  0.000
Te  0.500  0.500  0.500
Pt  0.000  0.000  0.500

Output
Distance to the lowest polymorph of the same formula, kcal/mol of atoms: 5.65

---

No. 6
The following is a PBE calculation of a relaxed Sc2TePt crystal, from Alexandria.

Lattice parameters (Å, degrees): 7.333 7.333 7.236 90.00 90.00 90.00
Space group I-42d (No. 122)
Inequivalent atoms, fractional coordinates:
Sc  0.217  0.250  0.125
Te  0.000  0.000  0.500
Pt  0.000  0.000  0.000

---

No. 7
The following is a PBE calculation of a relaxed ScTePt3 crystal, from Alexandria.

Lattice parameters (Å, degrees): 4.929 4.929 4.929 90.00 90.00 90.00
Space group Pm-3m (No. 221)
Inequivalent atoms, fractional coordinates:
Sc  0.000  0.000  0.000
Te  0.500  0.500  0.500
Pt  0.000  0.500  0.500

Output
Distance to the lowest polymorph of the same formula, kcal/mol of atoms: 0.00

---

No. 8
The following is a PBE calculation of a relaxed Sc4TePt crystal, from Alexandria.

Lattice parameters (Å, degrees): 8.053 8.053 8.053 90.00 90.00 90.00
Space group F-43m (No. 216)
Inequivalent atoms, fractional coordinates:
Sc  0.125  0.125  0.125
Te  0.250  0.250  0.750
Pt  0.000  0.000  0.500

Output
Distance to the lowest polymorph of the same formula, kcal/mol of atoms: 20.83

---

No. 9
The following is a PBE calculation of a relaxed ScTePt2 crystal, from Alexandria.

Lattice parameters (Å, degrees): 3.742 4.046 5.577 90.00 109.03 90.00
Space group Pm (No. 6)
Inequivalent atoms, fractional coordinates:
Sc  0.000  0.000  0.000
Te  0.710  0.500  0.420
Pt  0.272  0.000  0.551
Pt  0.462  0.500  0.918

---

No. 10
The following is a PBE calculation of a relaxed Sc4TePt crystal, from Alexandria.

Lattice parameters (Å, degrees): 7.686 3.766 18.172 90.00 90.00 90.00
Space group Pnma (No. 62)
Inequivalent atoms, fractional coordinates:
Sc  0.003  0.250  0.069
Sc  0.036  0.250  0.788
Sc  0.136  0.250  0.553
Sc  0.149  0.250  0.348
Te  0.232  0.750  0.689
Pt  0.244  0.750  0.449

Output
Distance to the lowest polymorph of the same formula, kcal/mol of atoms: 0.00

---

No. 11
The following is a PBE calculation of a relaxed ScTePt2 crystal, from Alexandria.

Lattice parameters (Å, degrees): 4.147 4.147 8.603 90.00 90.00 90.00
Space group I4/mmm (No. 139)
Inequivalent atoms, fractional coordinates:
Sc  0.000  0.000  0.000
Te  0.000  0.000  0.500
Pt  0.000  0.500  0.250

---

No. 12
The following is a PBE calculation of a relaxed ScTePt2 crystal, from Alexandria.

Lattice parameters (Å, degrees): 3.766 3.766 5.648 90.00 90.00 90.00
Space group P4mm (No. 99)
Inequivalent atoms, fractional coordinates:
Sc  0.000  0.000  0.000
Te  0.500  0.500  0.367
Pt  0.000  0.000  0.505
Pt  0.500  0.500  0.845

---

no.,ΔE_f (raw) (eV per formula unit),calculated volume (A^3/atom)
1,-3.03,26.60
2,-1.39,20.76
3,-2.77,28.65
4,-4.35,23.19
5,2.57,22.81
6,-3.11,24.32
7,1.34,23.95
8,0.02,21.76
9,-2.74,19.96
10,-5.40,21.91
11,-2.81,18.50
12,-2.34,20.02